1.
Material: LiTl4W
Method: DFT, PBEsol
State: optimized geometry

extended XYZ file:
```
6
Lattice="-2.8715 2.6706 4.5611 -4.4548 -2.8723 2.8435 0.8016 -1.9722 5.6257" Properties=species:S:1:pos:R:3 pbc="T T T"
W -4.8935 -1.6304 9.7727
Tl -2.4483 -0.8157 4.8893
Tl -3.8814 0.5171 7.1657
Tl -4.6716 -2.2492 6.3085
Tl -2.0482 -1.8000 7.6970
Li 0.0000 0.0000 0.0000
```

Summary:
ΔE_f (eV/atom): 1.01
D(E_F) (states/eV/cell): 3.2
Crystal system: cubic


2.
Material: LiZrTl2W
Method: DFT, PBEsol
State: optimized geometry

extended XYZ file:
```
5
Lattice="4.8955 0.0000 0.0000 0.0000 5.4086 0.0000 0.0000 0.0000 5.4086" Properties=species:S:1:pos:R:3 pbc="T T T"
Tl 0.0000 2.7043 0.0000
Tl 0.0000 0.0000 2.7043
Zr 2.4478 0.0000 0.0000
Li 2.4478 2.7043 2.7043
W 0.0000 0.0000 0.0000
```

Summary:
ΔE_f (eV/atom): 0.75
D(E_F) (states/eV/cell): 4.6
Crystal system: tetragonal


3.
Material: Li2YTl
Method: DFT, PBEsol
State: optimized geometry

extended XYZ file:
```
4
Lattice="-4.3040 1.3003 2.0775 -4.1490 -2.4423 -1.1629 -2.1397 -2.9741 3.3328" Properties=species:S:1:pos:R:3 pbc="T T T"
Li 0.0000 0.0000 0.0000
Li -2.6482 -1.0290 1.0618
Y -7.9445 -3.0871 3.1855
Tl -5.2964 -2.0581 2.1237
```

Summary:
ΔE_f (eV/atom): -0.28
D(E_F) (states/eV/cell): 1.6
Crystal system: cubic


4.
Material: Li2YTl
Method: DFT, PBEsol
State: optimized geometry

extended XYZ file:
```
4
Lattice="4.7763 0.0000 0.0000 2.3881 4.1364 0.0000 2.3881 1.3788 3.8998" Properties=species:S:1:pos:R:3 pbc="T T T"
Li 2.3881 1.3788 0.9750
Li 7.1644 4.1364 2.9249
Y 4.7763 2.7576 1.9499
Tl 0.0000 0.0000 0.0000
```

Summary:
ΔE_f (eV/atom): -0.30
D(E_F) (states/eV/cell): 0.8
Crystal system: cubic


5.
Material: LiY2Tl
Method: DFT, PBEsol
State: optimized geometry

extended XYZ file:
```
4
Lattice="-1.1359 -0.5497 -3.4694 -2.7491 -2.1307 1.2377 -4.4034 5.9695 0.4959" Properties=species:S:1:pos:R:3 pbc="T T T"
Tl -4.1442 1.6445 -0.8679
Li -1.9425 -1.3402 -1.1159
Y -3.3310 4.5157 0.3751
Y -1.0724 1.4538 0.1208
```

Summary:
ΔE_f (eV/atom): -0.20
D(E_F) (states/eV/cell): 4.6
Crystal system: tetragonal


6.
Material: LiY2Tl
Method: DFT, PBEsol
State: optimized geometry

extended XYZ file:
```
4
Lattice="3.5599 0.0000 0.0000 0.0000 4.7889 0.0000 -1.7800 0.0000 5.9795" Properties=species:S:1:pos:R:3 pbc="T T T"
Y 1.7800 0.0000 5.5762
Y 0.0000 2.3945 3.5186
Tl 1.7800 2.3945 0.7703
Li 1.7800 0.0000 2.3049
```

Summary:
ΔE_f (eV/atom): -0.22
D(E_F) (states/eV/cell): 3.1
Crystal system: orthorhombic


7.
Material: LiY2Tl2
Method: DFT, PBEsol
State: optimized geometry

extended XYZ file:
```
10
Lattice="-0.9924 -4.3361 -1.2068 2.7995 1.2512 -6.7976 6.7227 -2.1967 2.3643" Properties=species:S:1:pos:R:3 pbc="T T T"
Y 1.5430 -2.1044 -2.5089
Y 4.1126 -1.8611 -5.4963
Y 6.9868 -3.1772 -3.1312
Y 4.4172 -3.4205 -0.1438
Tl 6.7314 -0.3486 -4.2831
Tl 6.7378 -1.4337 -0.3898
Tl 2.7909 -0.5970 -0.1501
Tl 2.7845 0.4881 -4.0435
Li 4.7611 -0.4728 -2.2166
Li 0.0000 0.0000 0.0000
```

Summary:
ΔE_f (eV/atom): -0.37
D(E_F) (states/eV/cell): 8.2
Crystal system: tetragonal


8.
Material: LiY2Tl
Method: DFT, PBEsol
State: optimized geometry

extended XYZ file:
```
4
Lattice="-0.1611 1.1501 -3.2594 1.6019 -4.0617 -1.5124 -6.0650 -2.2128 -0.4810" Properties=species:S:1:pos:R:3 pbc="T T T"
Y -5.8711 -2.1420 -0.4656
Y -0.9199 -2.0543 -2.5160
Li -3.0742 -1.1216 -0.2438
Tl -3.8566 -3.1257 -2.7489
```

Summary:
ΔE_f (eV/atom): -0.13
D(E_F) (states/eV/cell): 3.2
Crystal system: orthorhombic